Below is a geometry-optimized Al2CuMo structure, with properties calculated at the PBE-GGA level.

```
data_Al2CuMo
_symmetry_space_group_name_H-M 'P 1'
_symmetry_Int_Tables_number 1
_symmetry_space_group_name_Hall 'P 1'
_cell_length_a 5.0424
_cell_length_b 5.0424
_cell_length_c 5.0424
_cell_angle_alpha 137.64
_cell_angle_beta 137.64
_cell_angle_gamma 61.46
loop_
_atom_site_label
_atom_site_type_symbol
_atom_site_fract_x
_atom_site_fract_y
_atom_site_fract_z
Mo1 Mo 0.7500 0.2500 0.5000
Al1 Al 0.0000 0.0000 0.0000
Al2 Al 0.2500 0.7500 0.5000
Cu1 Cu 0.5000 0.5000 0.0000
```

As for the excess energy over the best structure of this formula in the dataset: 0.055 eV per atom. As for the energy relative to the elements: -0.7 eV per formula unit. As for the space group: No. 119. For the density of states at the Fermi level, the calculation gives 2.742 states/eV/cell. The crystal system is tetragonal.